# Ho2ErRh9

Crystalline Ho2ErRh9 at its relaxed geometry (PBE, Alexandria via LeMat-Bulk).

Output
Its total energy is -86.76 eV for the cell shown. For the density of states at the Fermi level, the calculation gives 12.5 states/eV per cell. The magnetization is 0.00 μB per cell.

a = 9.278 Å, b = 9.278 Å, c = 9.278 Å
α = 32.81°, β = 32.81°, γ = 32.81°
Positions (direct):
Ho 0.139 0.139 0.139
Ho 0.861 0.861 0.861
Er 0.000 0.000 0.000
Rh 0.082 0.583 0.583
Rh 0.333 0.333 0.333
Rh 0.417 0.417 0.918
Rh 0.417 0.918 0.417
Rh 0.500 0.500 0.500
Rh 0.583 0.082 0.583
Rh 0.583 0.583 0.082
Rh 0.667 0.667 0.667
Rh 0.918 0.417 0.417

***

# HoEr2Rh

Crystalline HoEr2Rh at its relaxed geometry (PBE, Alexandria via LeMat-Bulk).

Output
For the energy above the most stable polymorph in this dataset, the calculation gives 1.58 eV/f.u. Its total energy is -21.68 eV for the cell shown. For the density of states at the Fermi level, the calculation gives 5.4 states/eV per cell. The magnetization is 0.37 μB per cell.

a = 10.654 Å, b = 10.654 Å, c = 10.654 Å
α = 19.30°, β = 19.30°, γ = 19.30°
Positions (direct):
Ho 0.000 0.000 0.000
Er 0.110 0.110 0.110
Er 0.890 0.890 0.890
Rh 0.500 0.500 0.500

***

# HoEr3Rh3

Crystalline HoEr3Rh3 at its relaxed geometry (PBE, Alexandria via LeMat-Bulk).

Output
Its total energy is -91.36 eV for the cell shown. For the density of states at the Fermi level, the calculation gives 6.0 states/eV per cell. The magnetization is 0.00 μB per cell.

a = 6.873 Å, b = 6.873 Å, c = 6.643 Å
α = 90.00°, β = 90.00°, γ = 90.30°
Positions (direct):
Ho 0.249 0.249 0.000
Ho 0.751 0.751 0.000
Er 0.243 0.757 0.000
Er 0.245 0.245 0.500
Er 0.246 0.754 0.500
Er 0.754 0.246 0.500
Er 0.755 0.755 0.500
Er 0.757 0.243 0.000
Rh 0.000 0.000 0.250
Rh 0.000 0.000 0.750
Rh 0.000 0.500 0.251
Rh 0.000 0.500 0.749
Rh 0.500 0.000 0.251
Rh 0.500 0.000 0.749

***

> Number 1 is which compound?

Ho2ErRh9